Compound: GaB2Ru2
Source: Alexandria
Functional: meta-GGA SCAN
Structure: single point on PBEsol structure

Calculated values
As for the calculated formation energy: -0.33 eV/atom. The value obtained for the total energy is -20.503 eV per atom. As for the total magnetization: 0.0 μB per formula unit. As for the density of states at the Fermi level: 0.40 states/eV/atom.

Geometry as CIF:
```
data_GaB2Ru2
_cell_length_a 2.888
_cell_length_b 2.888
_cell_length_c 12.747
_cell_angle_alpha 90.00
_cell_angle_beta 90.00
_cell_angle_gamma 90.00
_space_group_name_H-M_alt 'I 4/m m m'
_space_group_IT_number 139
_space_group_name_Hall '-I 4 2'
loop_
_atom_site_label
_atom_site_type_symbol
_atom_site_fract_x
_atom_site_fract_y
_atom_site_fract_z
_atom_site_occupancy
Ga1 Ga 0.000 0.000 0.000 1
B1 B 0.000 0.500 0.250 1
Ru1 Ru 0.000 0.000 0.377 1
```